# 1
# NpInGaHg | Alexandria | GGA-PBE | optimized geometry
data_NpInGaHg
_chemical_formula_sum 'Np1 In1 Ga1 Hg1'
_cell_length_a 5.089
_cell_length_b 5.089
_cell_length_c 5.089
_cell_angle_alpha 60.00
_cell_angle_beta 60.00
_cell_angle_gamma 60.00
_symmetry_space_group_name_H-M 'P 1'
_symmetry_Int_Tables_number 1
loop_
_symmetry_equiv_pos_as_xyz
'x,y,z'
loop_
_atom_site_label
_atom_site_type_symbol
_atom_site_fract_x
_atom_site_fract_y
_atom_site_fract_z
Hg1 Hg 0.000 0.000 0.000
Ga1 Ga 0.500 0.500 0.500
In1 In 0.250 0.250 0.250
Np1 Np 0.750 0.750 0.750
# VASP energy in eV per atom: -4.671
# Total moment in μB/cell: 4.3
# Formation energy in meV per atom: 81
# Volume in Å³ per cell: 93.2
# Space group: F-43m, No. 216
# Density of states at the Fermi level in states/eV per atom: 2.522

# 2
# InGa2HgO6 | Alexandria | GGA-PBE | optimized geometry
data_InGa2HgO6
_chemical_formula_sum 'In2 Ga4 Hg2 O12'
_cell_length_a 5.629
_cell_length_b 7.016
_cell_length_c 7.016
_cell_angle_alpha 86.33
_cell_angle_beta 80.04
_cell_angle_gamma 80.04
_symmetry_space_group_name_H-M 'P 1'
_symmetry_Int_Tables_number 1
loop_
_symmetry_equiv_pos_as_xyz
'x,y,z'
loop_
_atom_site_label
_atom_site_type_symbol
_atom_site_fract_x
_atom_site_fract_y
_atom_site_fract_z
In1 In 0.250 0.906 0.094
Ga1 Ga 0.714 0.609 0.782
O1 O 0.126 0.966 0.805
Ga2 Ga 0.786 0.218 0.391
O2 O 0.120 0.626 0.135
Ga3 Ga 0.214 0.782 0.609
O3 O 0.581 0.422 0.290
Hg1 Hg 0.250 0.288 0.712
O4 O 0.380 0.865 0.374
In2 In 0.750 0.094 0.906
O5 O 0.626 0.805 0.966
O6 O 0.919 0.710 0.578
Hg2 Hg 0.750 0.712 0.288
O7 O 0.880 0.374 0.865
O8 O 0.620 0.135 0.626
Ga4 Ga 0.286 0.391 0.218
O9 O 0.874 0.034 0.195
O10 O 0.419 0.578 0.710
O11 O 0.081 0.290 0.422
O12 O 0.374 0.195 0.034
# VASP energy in eV per atom: -5.151
# Total moment in μB/cell: 1.4
# Volume in Å³ per cell: 268.7
# Space group: C2/c, No. 15
# Density of states at the Fermi level in states/eV per atom: 0.463
# Formation energy without anion corrections in eV per atom: -1.27

# 3
# In2GaHgOs | Alexandria | GGA-PBE | optimized geometry
data_In2GaHgOs
_chemical_formula_sum 'In2 Ga1 Hg1 Os1'
_cell_length_a 5.245
_cell_length_b 5.245
_cell_length_c 4.852
_cell_angle_alpha 90.00
_cell_angle_beta 90.00
_cell_angle_gamma 90.00
_symmetry_space_group_name_H-M 'P 1'
_symmetry_Int_Tables_number 1
loop_
_symmetry_equiv_pos_as_xyz
'x,y,z'
loop_
_atom_site_label
_atom_site_type_symbol
_atom_site_fract_x
_atom_site_fract_y
_atom_site_fract_z
Os1 Os 0.000 0.000 0.000
Hg1 Hg 0.500 0.500 0.500
Ga1 Ga 0.000 0.000 0.500
In1 In 0.000 0.500 0.000
In2 In 0.500 0.000 0.000
# VASP energy in eV per atom: -3.904
# Total moment in μB/cell: 0.0
# Formation energy in meV per atom: 103
# Volume in Å³ per cell: 133.5
# Space group: P4/mmm, No. 123
# Density of states at the Fermi level in states/eV per atom: 0.571

# 4
# PaInGaHg | Alexandria | GGA-PBE | optimized geometry
data_PaInGaHg
_chemical_formula_sum 'Pa1 In1 Ga1 Hg1'
_cell_length_a 5.074
_cell_length_b 5.074
_cell_length_c 5.074
_cell_angle_alpha 60.00
_cell_angle_beta 60.00
_cell_angle_gamma 60.00
_symmetry_space_group_name_H-M 'P 1'
_symmetry_Int_Tables_number 1
loop_
_symmetry_equiv_pos_as_xyz
'x,y,z'
loop_
_atom_site_label
_atom_site_type_symbol
_atom_site_fract_x
_atom_site_fract_y
_atom_site_fract_z
Pa1 Pa 0.750 0.750 0.750
Hg1 Hg 0.500 0.500 0.500
Ga1 Ga 0.000 0.000 0.000
In1 In 0.250 0.250 0.250
# VASP energy in eV per atom: -3.893
# Total moment in μB/cell: 0.8
# Formation energy in meV per atom: -3
# Volume in Å³ per cell: 92.4
# Space group: F-43m, No. 216
# Density of states at the Fermi level in states/eV per atom: 1.159

# 5
# In2GaHg4Pb | Alexandria | GGA-PBE | optimized geometry
data_In2GaHg4Pb
_chemical_formula_sum 'In2 Ga1 Hg4 Pb1'
_cell_length_a 6.236
_cell_length_b 6.236
_cell_length_c 7.032
_cell_angle_alpha 106.81
_cell_angle_beta 106.81
_cell_angle_gamma 110.35
_symmetry_space_group_name_H-M 'P 1'
_symmetry_Int_Tables_number 1
loop_
_symmetry_equiv_pos_as_xyz
'x,y,z'
loop_
_atom_site_label
_atom_site_type_symbol
_atom_site_fract_x
_atom_site_fract_y
_atom_site_fract_z
In1 In 0.000 0.000 0.000
Hg1 Hg 0.245 0.245 0.490
In2 In 0.250 0.750 0.500
Hg2 Hg 0.511 0.011 0.022
Ga1 Ga 0.750 0.250 0.500
Pb1 Pb 0.500 0.500 0.000
Hg3 Hg 0.989 0.489 0.978
Hg4 Hg 0.755 0.755 0.510
# VASP energy in eV per atom: -1.628
# Total moment in μB/cell: 0.0
# Formation energy in meV per atom: 49
# Volume in Å³ per cell: 221.1
# Space group: F222, No. 22
# Density of states at the Fermi level in states/eV per atom: 0.469

# 6
# In2GaHgPb | Alexandria | GGA-PBE | optimized geometry
data_In2GaHgPb
_chemical_formula_sum 'In4 Ga2 Hg2 Pb2'
_cell_length_a 6.368
_cell_length_b 6.508
_cell_length_c 7.232
_cell_angle_alpha 116.74
_cell_angle_beta 90.00
_cell_angle_gamma 90.00
_symmetry_space_group_name_H-M 'P 1'
_symmetry_Int_Tables_number 1
loop_
_symmetry_equiv_pos_as_xyz
'x,y,z'
loop_
_atom_site_label
_atom_site_type_symbol
_atom_site_fract_x
_atom_site_fract_y
_atom_site_fract_z
Hg1 Hg 0.250 0.660 0.319
In1 In 0.500 0.746 0.000
Ga1 Ga 0.250 0.863 0.726
Ga2 Ga 0.750 0.137 0.274
Hg2 Hg 0.750 0.340 0.681
In2 In 0.500 0.254 0.000
Pb1 Pb 0.250 0.236 0.472
In3 In 0.000 0.746 0.000
In4 In 0.000 0.254 0.000
Pb2 Pb 0.750 0.764 0.528
# VASP energy in eV per atom: -2.426
# Total moment in μB/cell: 0.0
# Formation energy in meV per atom: 77
# Volume in Å³ per cell: 267.6
# Space group: Cmcm, No. 63
# Density of states at the Fermi level in states/eV per atom: 0.476

# 7
# InGaHg2Pb2 | Alexandria | GGA-PBE | optimized geometry
data_InGaHg2Pb2
_chemical_formula_sum 'In2 Ga2 Hg4 Pb4'
_cell_length_a 5.051
_cell_length_b 7.043
_cell_length_c 9.152
_cell_angle_alpha 90.00
_cell_angle_beta 90.00
_cell_angle_gamma 90.00
_symmetry_space_group_name_H-M 'P 1'
_symmetry_Int_Tables_number 1
loop_
_symmetry_equiv_pos_as_xyz
'x,y,z'
loop_
_atom_site_label
_atom_site_type_symbol
_atom_site_fract_x
_atom_site_fract_y
_atom_site_fract_z
Pb1 Pb 0.500 0.534 0.949
In1 In 0.000 0.012 0.484
Hg1 Hg 0.000 0.297 0.805
Hg2 Hg 0.000 0.797 0.195
Ga1 Ga 0.500 0.632 0.288
In2 In 0.000 0.512 0.516
Hg3 Hg 0.500 0.244 0.403
Hg4 Hg 0.500 0.744 0.597
Pb2 Pb 0.000 0.827 0.834
Pb3 Pb 0.000 0.327 0.166
Ga2 Ga 0.500 0.132 0.712
Pb4 Pb 0.500 0.034 0.051
# VASP energy in eV per atom: -2.253
# Total moment in μB/cell: 0.0
# Formation energy in meV per atom: 44
# Volume in Å³ per cell: 325.6
# Space group: Pmc2_1, No. 26
# Density of states at the Fermi level in states/eV per atom: 0.300

# 8
# In4Ga2Hg2Pb3 | Alexandria | GGA-PBE | optimized geometry
data_In4Ga2Hg2Pb3
_chemical_formula_sum 'In4 Ga2 Hg2 Pb3'
_cell_length_a 5.191
_cell_length_b 5.191
_cell_length_c 13.165
_cell_angle_alpha 90.00
_cell_angle_beta 90.00
_cell_angle_gamma 120.00
_symmetry_space_group_name_H-M 'P 1'
_symmetry_Int_Tables_number 1
loop_
_symmetry_equiv_pos_as_xyz
'x,y,z'
loop_
_atom_site_label
_atom_site_type_symbol
_atom_site_fract_x
_atom_site_fract_y
_atom_site_fract_z
In1 In 0.333 0.667 0.881
Pb1 Pb 0.000 0.000 0.737
Hg1 Hg 0.667 0.333 0.389
Ga1 Ga 0.667 0.333 0.866
Pb2 Pb 0.000 0.000 0.000
Pb3 Pb 0.000 0.000 0.263
Ga2 Ga 0.333 0.667 0.134
In2 In 0.667 0.333 0.119
Hg2 Hg 0.333 0.667 0.611
In3 In 0.667 0.333 0.619
In4 In 0.333 0.667 0.381
# VASP energy in eV per atom: -2.573
# Total moment in μB/cell: 0.0
# Formation energy in meV per atom: 40
# Volume in Å³ per cell: 307.2
# Space group: P-3m1, No. 164
# Density of states at the Fermi level in states/eV per atom: 0.294

# 9
# In4GaHg2Pb2 | Alexandria | GGA-PBE | optimized geometry
data_In4GaHg2Pb2
_chemical_formula_sum 'In4 Ga1 Hg2 Pb2'
_cell_length_a 6.747
_cell_length_b 7.172
_cell_length_c 8.083
_cell_angle_alpha 119.39
_cell_angle_beta 128.94
_cell_angle_gamma 86.23
_symmetry_space_group_name_H-M 'P 1'
_symmetry_Int_Tables_number 1
loop_
_symmetry_equiv_pos_as_xyz
'x,y,z'
loop_
_atom_site_label
_atom_site_type_symbol
_atom_site_fract_x
_atom_site_fract_y
_atom_site_fract_z
Hg1 Hg 0.232 0.663 0.036
In1 In 0.199 0.335 0.531
Pb1 Pb 0.655 0.228 0.461
Ga1 Ga 0.000 0.000 0.000
In2 In 0.801 0.665 0.469
In3 In 0.267 0.183 0.897
In4 In 0.733 0.817 0.103
Hg2 Hg 0.768 0.337 0.964
Pb2 Pb 0.345 0.772 0.539
# VASP energy in eV per atom: -2.399
# Total moment in μB/cell: 0.0
# Formation energy in meV per atom: 45
# Volume in Å³ per cell: 247.5
# Space group: P-1, No. 2
# Density of states at the Fermi level in states/eV per atom: 0.372

# 10
# In6GaHgPb2 | Alexandria | GGA-PBE | optimized geometry
data_In6GaHgPb2
_chemical_formula_sum 'In12 Ga2 Hg2 Pb4'
_cell_length_a 8.110
_cell_length_b 8.462
_cell_length_c 8.474
_cell_angle_alpha 90.00
_cell_angle_beta 84.30
_cell_angle_gamma 90.00
_symmetry_space_group_name_H-M 'P 1'
_symmetry_Int_Tables_number 1
loop_
_symmetry_equiv_pos_as_xyz
'x,y,z'
loop_
_atom_site_label
_atom_site_type_symbol
_atom_site_fract_x
_atom_site_fract_y
_atom_site_fract_z
In1 In 0.263 0.271 0.933
Pb1 Pb 0.436 0.613 0.839
Hg1 Hg 0.000 0.500 0.500
Ga1 Ga 0.000 0.500 0.000
In2 In 0.763 0.229 0.433
In3 In 0.237 0.771 0.567
In4 In 0.758 0.384 0.781
In5 In 0.873 0.141 0.052
Ga2 Ga 0.500 0.000 0.500
In6 In 0.242 0.616 0.219
Pb2 Pb 0.564 0.387 0.161
Pb3 Pb 0.936 0.887 0.339
In7 In 0.258 0.116 0.281
Pb4 Pb 0.064 0.113 0.661
In8 In 0.373 0.359 0.552
In9 In 0.742 0.884 0.719
In10 In 0.737 0.729 0.067
Hg2 Hg 0.500 0.000 0.000
In11 In 0.127 0.859 0.948
In12 In 0.627 0.641 0.448
# VASP energy in eV per atom: -2.631
# Total moment in μB/cell: 0.0
# Formation energy in meV per atom: 86
# Volume in Å³ per cell: 578.7
# Space group: P2_1/c, No. 14
# Density of states at the Fermi level in states/eV per atom: 0.458

# 11
# In2GaHg2Pb2 | Alexandria | GGA-PBE | optimized geometry
data_In2GaHg2Pb2
_chemical_formula_sum 'In2 Ga1 Hg2 Pb2'
_cell_length_a 5.156
_cell_length_b 8.303
_cell_length_c 5.409
_cell_angle_alpha 90.85
_cell_angle_beta 61.54
_cell_angle_gamma 71.91
_symmetry_space_group_name_H-M 'P 1'
_symmetry_Int_Tables_number 1
loop_
_symmetry_equiv_pos_as_xyz
'x,y,z'
loop_
_atom_site_label
_atom_site_type_symbol
_atom_site_fract_x
_atom_site_fract_y
_atom_site_fract_z
Hg1 Hg 0.265 0.588 0.883
Pb1 Pb 0.586 0.131 0.696
Pb2 Pb 0.414 0.869 0.304
In1 In 0.150 0.300 0.401
Hg2 Hg 0.735 0.412 0.117
In2 In 0.850 0.700 0.599
Ga1 Ga 0.000 0.000 0.000
# VASP energy in eV per atom: -2.313
# Total moment in μB/cell: 0.0
# Formation energy in meV per atom: 47
# Volume in Å³ per cell: 189.8
# Space group: C2/m, No. 12
# Density of states at the Fermi level in states/eV per atom: 0.341

# 12
# In2GaHgPb2 | Alexandria | GGA-PBE | optimized geometry
data_In2GaHgPb2
_chemical_formula_sum 'In4 Ga2 Hg2 Pb4'
_cell_length_a 5.108
_cell_length_b 6.709
_cell_length_c 9.581
_cell_angle_alpha 90.00
_cell_angle_beta 90.00
_cell_angle_gamma 90.00
_symmetry_space_group_name_H-M 'P 1'
_symmetry_Int_Tables_number 1
loop_
_symmetry_equiv_pos_as_xyz
'x,y,z'
loop_
_atom_site_label
_atom_site_type_symbol
_atom_site_fract_x
_atom_site_fract_y
_atom_site_fract_z
In1 In 0.500 0.638 0.640
Pb1 Pb 0.000 0.361 0.169
In2 In 0.000 0.353 0.804
Pb2 Pb 0.500 0.091 0.009
In3 In 0.000 0.853 0.196
Pb3 Pb 0.500 0.591 0.991
In4 In 0.500 0.138 0.360
Hg1 Hg 0.000 0.965 0.509
Ga1 Ga 0.500 0.637 0.326
Hg2 Hg 0.000 0.465 0.491
Pb4 Pb 0.000 0.861 0.831
Ga2 Ga 0.500 0.137 0.674
# VASP energy in eV per atom: -2.655
# Total moment in μB/cell: 0.0
# Formation energy in meV per atom: 48
# Volume in Å³ per cell: 328.4
# Space group: Pmc2_1, No. 26
# Density of states at the Fermi level in states/eV per atom: 0.535

What did the first record say?
# NpInGaHg | Alexandria | GGA-PBE | optimized geometry
data_NpInGaHg
_chemical_formula_sum 'Np1 In1 Ga1 Hg1'
_cell_length_a 5.089
_cell_length_b 5.089
_cell_length_c 5.089
_cell_angle_alpha 60.00
_cell_angle_beta 60.00
_cell_angle_gamma 60.00
_symmetry_space_group_name_H-M 'P 1'
_symmetry_Int_Tables_number 1
loop_
_symmetry_equiv_pos_as_xyz
'x,y,z'
loop_
_atom_site_label
_atom_site_type_symbol
_atom_site_fract_x
_atom_site_fract_y
_atom_site_fract_z
Hg1 Hg 0.000 0.000 0.000
Ga1 Ga 0.500 0.500 0.500
In1 In 0.250 0.250 0.250
Np1 Np 0.750 0.750 0.750
# VASP energy in eV per atom: -4.671
# Total moment in μB/cell: 4.3
# Formation energy in meV per atom: 81
# Volume in Å³ per cell: 93.2
# Space group: F-43m, No. 216
# Density of states at the Fermi level in states/eV per atom: 2.522

Number 2 is which compound?
InGa2HgO6

volume of number 8 (In4Ga2Hg2Pb3)?
307.2 Å³ per cell